A relaxed BeTcIr crystal, computed with PBE.

Cell: 6.255 4.895 5.144 Å, 62.32 83.81 133.50°
Fractional positions:
Be  0.974  0.248  0.653
Be  0.797  0.904  0.415
Tc  0.660  0.250  0.014
Tc  0.111  0.901  0.055
Ir  0.372  0.346  0.333
Ir  0.399  0.806  0.736

Results
**Symmetry**: No. 2
**Calculated total energy**: -7.915 eV/atom
**Energy relative to the elements**: -0.2642 eV/atom
**ΔE to the lowest computed polymorph**: 0.1027 eV per atom



A relaxed BeTcPS2 crystal, computed with PBE.

Cell: 4.290 4.290 4.081 Å, 90.00 90.00 90.00°
Fractional positions:
Tc  0.500  0.500  0.500
Be  0.000  0.000  0.000
S  0.000  0.500  0.000
S  0.500  0.000  0.000
P  0.000  0.000  0.500

Results
**Symmetry**: No. 123
**ΔE_f (raw)**: 0.7786 eV per atom
**Calculated total energy**: -4.773 eV/atom
**ΔE to the lowest computed polymorph**: 0.0000 eV per atom



A relaxed CdTe2F crystal, computed with PBE.

Cell: 4.367 4.367 10.899 Å, 78.44 78.44 90.00°
Fractional positions:
Te  0.375  0.378  0.750
Te  0.875  0.872  0.750
Te  0.622  0.125  0.250
Te  0.128  0.625  0.250
Cd  0.000  0.000  0.000
Cd  0.750  0.250  0.500
F  0.250  0.750  0.500
F  0.500  0.500  0.000

Results
**Symmetry**: No. 122
**ΔE_f (raw)**: -0.4934 eV per atom
**Calculated total energy**: -2.761 eV/atom
**ΔE to the lowest computed polymorph**: 0.3616 eV per atom



A relaxed Tb2EuCd crystal, computed with PBE.

Cell: 3.737 3.737 9.015 Å, 90.00 90.00 90.00°
Fractional positions:
Tb  0.000  0.000  0.206
Tb  0.000  0.000  0.794
Cd  0.500  0.500  0.000
Eu  0.500  0.500  0.500

Results
**Symmetry**: No. 123
**Calculated total energy**: -5.200 eV/atom
**Energy relative to the elements**: -0.0879 eV/atom
**ΔE to the lowest computed polymorph**: 0.0000 eV per atom



A relaxed BiTe2O5 crystal, computed with PBE.

Cell: 7.489 7.399 10.716 Å, 90.00 90.00 90.00°
Fractional positions:
Te  0.520  0.409  0.147
Te  0.020  0.091  0.353
Te  0.480  0.909  0.353
Te  0.520  0.091  0.647
Te  0.020  0.409  0.853
Te  0.980  0.909  0.647
Te  0.480  0.591  0.853
Te  0.980  0.591  0.147
O  0.839  0.820  0.787
O  0.514  0.174  0.072
O  0.250  0.500  0.936
O  0.486  0.826  0.928
O  0.750  0.500  0.064
O  0.839  0.680  0.287
O  0.750  0.000  0.564
O  0.486  0.674  0.428
O  0.014  0.326  0.428
O  0.250  0.000  0.436
O  0.986  0.826  0.072
O  0.161  0.320  0.713
O  0.339  0.820  0.213
O  0.986  0.674  0.572
O  0.661  0.180  0.787
O  0.661  0.320  0.287
O  0.514  0.326  0.572
O  0.161  0.180  0.213
O  0.014  0.174  0.928
O  0.339  0.680  0.713
Bi  0.750  0.000  0.942
Bi  0.250  0.500  0.558
Bi  0.750  0.500  0.442
Bi  0.250  0.000  0.058

Results
**Symmetry**: No. 60
**ΔE_f (raw)**: -0.9523 eV per atom
**Calculated total energy**: -5.322 eV/atom



A relaxed Li3Zr2UTe6 crystal, computed with PBE.

Cell: 7.124 7.124 7.598 Å, 98.98 98.98 120.12°
Fractional positions:
Te  0.914  0.569  0.744
Te  0.262  0.262  0.747
Te  0.431  0.086  0.256
Te  0.086  0.431  0.256
Te  0.738  0.738  0.253
Te  0.569  0.914  0.744
Zr  0.331  0.669  0.000
Zr  0.669  0.331  0.000
Li  0.161  0.839  0.500
Li  0.839  0.161  0.500
Li  0.500  0.500  0.500
U  0.000  0.000  0.000

Results
**Symmetry**: No. 12
**ΔE_f (raw)**: -0.8538 eV per atom
**Calculated total energy**: -5.268 eV/atom



A relaxed Li2ZrIn crystal, computed with PBE.

Cell: 2.907 4.473 6.110 Å, 90.00 90.00 90.00°
Fractional positions:
Li  0.000  0.000  0.519
Li  0.000  0.000  0.981
In  0.500  0.500  0.750
Zr  0.500  0.500  0.250

Results
**Symmetry**: No. 47
**Calculated total energy**: -3.755 eV/atom
**Energy relative to the elements**: 0.0232 eV/atom



A relaxed AgPt2 crystal, computed with PBE.

Cell: 4.548 4.548 2.788 Å, 90.00 90.00 120.00°
Fractional positions:
Ag  0.000  0.000  0.000
Pt  0.333  0.667  0.500
Pt  0.667  0.333  0.500

Results
**Symmetry**: No. 191
**Calculated total energy**: -4.915 eV/atom
**Energy relative to the elements**: 0.0628 eV/atom
**ΔE to the lowest computed polymorph**: 0.0705 eV per atom



> Which of these has the lowest calculated total energy?

BeTcIr